A relaxed structure of Pm8Rh3Au2, computed with PBE.

The structure in extended XYZ format:
```
13
Lattice="-1.508 -3.979 -2.619 3.546 4.226 -8.462 4.548 -5.236 5.336" Properties=species:S:1:pos:R:3 pbc="T T T"
Pm 3.310 -6.359 -1.778
Pm 3.161 -5.440 1.678
Pm 0.003 -4.726 -2.354
Pm 6.583 -0.262 -3.391
Pm 1.628 -1.695 -3.127
Pm 4.958 -3.293 -2.618
Pm 3.425 0.452 -7.424
Pm 3.276 1.370 -3.967
Au 4.102 -1.397 -5.005
Au 2.484 -3.591 -0.740
Rh -0.754 -1.989 -1.310
Rh 7.195 -2.078 -0.986
Rh 0.899 1.068 -2.141
```

Results
As for the calculated formation energy: -0.528 eV per atom. Its density of states at the Fermi level is 1.204 states/eV per atom. The calculated density comes out at 8.587 g/cm3. Its size of the total moment is 0.00 μB/f.u.